Entry 1:
CsVN PBE relaxed; raw total energy = -6.045 eV per atom
1.0
3.3959 0.0000 0.0000
-1.6979 2.9409 0.0000
0.0000 0.0000 18.8522
Cs V N
3 3 3
Direct
0.6667 0.3333 0.4802
0.3333 0.6667 0.8136
0.0000 0.0000 0.1469
0.3333 0.6667 0.3089
0.6667 0.3333 0.9755
0.0000 0.0000 0.6422
0.6667 0.3333 0.3018
0.3333 0.6667 0.6351
0.0000 0.0000 0.9685


Entry 2:
CsVN PBE relaxed; raw total energy = -6.034 eV per atom
1.0
3.3781 0.0000 0.0000
-1.6890 2.9255 0.0000
0.0000 0.0000 6.5289
N Cs V
1 1 1
Direct
0.0000 0.0000 0.0000
0.0000 0.0000 0.5000
0.6667 0.3333 0.0000


Entry 3:
CsVN PBE relaxed; raw total energy = -6.541 eV per atom
1.0
-0.9479 -0.8164 3.2665
-3.2950 -1.4787 -1.3257
5.9759 -10.0609 -2.2666
Cs V N
2 2 2
Direct
0.3608 0.7845 0.2797
0.6392 0.2155 0.7203
0.2408 0.7472 0.9768
0.7592 0.2528 0.0232
0.7734 0.7572 0.0590
0.2266 0.2428 0.9410


Entry 4:
CsVN PBE relaxed; raw total energy = -6.248 eV per atom
1.0
-2.4184 1.8105 -1.7979
-3.4964 0.9863 5.7540
6.1842 4.5227 -0.3364
V N Cs
2 2 2
Direct
0.1973 0.3844 0.8965
0.8027 0.6156 0.1035
0.2752 0.6845 0.0472
0.7248 0.3155 0.9528
0.6019 0.8173 0.7061
0.3981 0.1827 0.2939


Entry 5:
Cs3VN PBE relaxed; raw total energy = -2.365 eV per atom
1.0
-0.2859 6.7813 1.1098
-2.0943 -1.1439 6.4502
6.5446 -0.0698 2.1126
V Cs N
1 3 1
Direct
0.0000 0.0000 0.0000
0.5000 0.0000 0.0000
0.0000 0.0000 0.5000
0.0000 0.5000 0.0000
0.5000 0.5000 0.5000


Entry 6:
CsVWN2 PBE relaxed; raw total energy = -4.237 eV per atom
1.0
-1.7767 3.2070 1.9242
-4.1966 -0.1749 -3.5835
-2.0205 -2.6157 2.4939
W V Cs N
1 1 1 2
Direct
0.0000 0.5000 0.0000
0.5000 0.5000 0.5000
0.0000 0.0000 0.0000
0.0000 0.0000 0.5000
0.5000 0.0000 0.0000


Entry 7:
CsWN2 PBE relaxed; raw total energy = -8.080 eV per atom
1.0
6.2226 0.0000 0.0000
0.0000 6.2226 0.0000
3.1113 3.1113 4.4051
N Cs W
4 2 2
Direct
0.8740 0.6250 0.2500
0.8760 0.1250 0.2500
0.8750 0.1260 0.7500
0.3750 0.1240 0.7500
0.2500 0.7500 0.5000
0.5000 0.5000 0.0000
0.7500 0.2500 0.5000
0.0000 0.0000 0.0000


Entry 8:
Cs2WN3 PBE relaxed; raw total energy = -6.785 eV per atom
1.0
-1.4520 -5.2142 -0.3068
1.9584 -0.1387 -6.9061
6.9130 -1.9029 -0.3717
Cs N W
4 6 2
Direct
0.7500 0.5057 0.8141
0.2500 0.8141 0.5057
0.2500 0.4943 0.1859
0.7500 0.1859 0.4943
0.2500 0.2972 0.7028
0.5000 0.8848 0.8848
0.0000 0.8848 0.8848
0.0000 0.1152 0.1152
0.7500 0.7028 0.2972
0.5000 0.1152 0.1152
0.2500 0.0812 0.9188
0.7500 0.9188 0.0812


Entry 9:
CsWN2 PBE relaxed; raw total energy = -5.330 eV per atom
1.0
0.9241 -3.1115 2.7255
-2.9587 -1.4128 2.6859
-1.6806 -3.8540 -0.5345
N Cs W
2 1 1
Direct
0.7500 0.7500 0.7500
0.2500 0.2500 0.2500
0.0000 0.0000 0.0000
0.5000 0.5000 0.5000


Entry 10:
CsWN2 PBE relaxed; raw total energy = -7.361 eV per atom
1.0
1.8700 0.0000 7.5821
-0.9350 1.6195 7.5821
-0.9350 -1.6195 7.5821
N Cs W
2 1 1
Direct
0.1242 0.1242 0.1242
0.8758 0.8758 0.8758
0.0000 0.0000 0.0000
0.5000 0.5000 0.5000


Entry 11:
CsWN2 PBE relaxed; raw total energy = -7.904 eV per atom
1.0
3.7448 0.0000 0.0000
0.0000 7.0623 0.0000
0.0000 0.0000 14.0799
Cs N W
4 8 4
Direct
0.2500 0.9328 0.8351
0.7500 0.0672 0.1649
0.2500 0.4328 0.6649
0.7500 0.5672 0.3351
0.7500 0.6463 0.0408
0.7500 0.1463 0.4592
0.7500 0.5752 0.8231
0.2500 0.4248 0.1769
0.2500 0.3537 0.9592
0.2500 0.8537 0.5408
0.7500 0.0752 0.6769
0.2500 0.9248 0.3231
0.7500 0.4514 0.9310
0.2500 0.0486 0.4310
0.2500 0.5486 0.0690
0.7500 0.9514 0.5690


Entry 12:
CsWN2 PBE relaxed; raw total energy = -6.324 eV per atom
1.0
-0.9634 -3.5085 7.5823
2.3111 -2.5800 7.6637
-0.1197 -0.3140 8.4034
W N Cs
1 2 1
Direct
0.0000 0.0000 0.0000
0.0758 0.0758 0.0758
0.9242 0.9242 0.9242
0.5000 0.5000 0.5000


What did the third record say?
CsVN PBE relaxed; raw total energy = -6.541 eV per atom
1.0
-0.9479 -0.8164 3.2665
-3.2950 -1.4787 -1.3257
5.9759 -10.0609 -2.2666
Cs V N
2 2 2
Direct
0.3608 0.7845 0.2797
0.6392 0.2155 0.7203
0.2408 0.7472 0.9768
0.7592 0.2528 0.0232
0.7734 0.7572 0.0590
0.2266 0.2428 0.9410